CaZnGa4, relaxed, DFT PBE-GGA; energy of formation from the pure elements = -153.0 kJ/mol of formula units; DFT total energy = -2.83 eV per atom
1.0
4.1243 0.0000 -1.0699
0.0000 6.8219 0.0000
-0.0211 0.0000 8.4030
Ca Zn Ga
2 2 8
direct
0.1192 0.2500 0.2383 Ca
0.8808 0.7500 0.7617 Ca
0.2310 0.7500 0.4621 Zn
0.7690 0.2500 0.5379 Zn
0.5000 0.5000 0.0000 Ga
0.5000 0.0000 0.0000 Ga
0.6723 0.9436 0.3445 Ga
0.3277 0.0564 0.6555 Ga
0.3277 0.4436 0.6555 Ga
0.6723 0.5564 0.3445 Ga
0.0677 0.7500 0.1353 Ga
0.9323 0.2500 0.8647 Ga



Li2TcPb, relaxed, DFT PBE-GGA; energy of formation from the pure elements = 163.0 kJ/mol of formula units; DFT total energy = -4.05 eV per atom
1.0
-6.9205 2.4325 6.4463
-4.8136 1.4961 8.3639
-4.7689 4.3170 7.3475
Li Pb Tc
2 1 1
direct
0.0076 0.0076 0.0076 Li
0.4924 0.4924 0.4924 Li
0.2500 0.2500 0.2500 Pb
0.7500 0.7500 0.7500 Tc



BaGa3As, relaxed, DFT PBE-GGA; energy relative to the lowest polymorph listed for this composition = 110.0 kJ per mole of atoms; energy of formation from the pure elements = 554.2 kJ/mol of formula units; DFT total energy = -1.98 eV per atom
1.0
5.9006 0.0000 0.0000
0.0000 5.9006 0.0000
0.0000 0.0000 5.9006
As Ba Ga
1 1 3
direct
0.5000 0.5000 0.5000 As
0.0000 0.0000 0.0000 Ba
0.0000 0.5000 0.0000 Ga
0.0000 0.0000 0.5000 Ga
0.5000 0.0000 0.0000 Ga



Pr2Tm2Cd15, relaxed, DFT PBE-GGA; energy of formation from the pure elements = -276.0 kJ/mol of formula units; DFT total energy = -1.85 eV per atom
1.0
7.8601 0.1891 0.1685
1.2072 7.7692 0.1685
1.2072 1.0596 7.6984
Pr Tm Cd
2 2 15
direct
0.3279 0.3279 0.3279 Pr
0.6721 0.6721 0.6721 Pr
0.0991 0.0991 0.0991 Tm
0.9009 0.9009 0.9009 Tm
0.5000 0.0000 0.0000 Cd
0.0000 0.0000 0.5000 Cd
0.0000 0.5000 0.0000 Cd
0.0000 0.7088 0.2912 Cd
0.7088 0.2912 0.0000 Cd
0.2912 0.0000 0.7088 Cd
0.2912 0.7088 0.0000 Cd
0.7088 0.0000 0.2912 Cd
0.0000 0.2912 0.7088 Cd
0.1504 0.6303 0.6303 Cd
0.6303 0.6303 0.1504 Cd
0.6303 0.1504 0.6303 Cd
0.8496 0.3697 0.3697 Cd
0.3697 0.3697 0.8496 Cd
0.3697 0.8496 0.3697 Cd



The DOS(E_F) results, record by record, are as follows: 1.7; 4.3; 5.7; 10.0 states/eV/f.u..